Entry from Alexandria: a relaxed structure of ScCd4Rh (PBE-GGA).

Results
DFT total energy   -2.963 eV/atom
SG   No. 216

Unit cell a=5.532 b=5.532 c=5.532 alpha=60.00 beta=60.00 gamma=60.00
Fractional positions:
Sc 0.000 0.000 0.000
Cd 0.126 0.625 0.625
Cd 0.625 0.126 0.625
Cd 0.625 0.625 0.126
Cd 0.625 0.625 0.625
Rh 0.250 0.250 0.250